Entry from Alexandria via LeMat-Bulk: a relaxed structure of Ce2Co3Ni (PBE).

Summary:
E_tot in eV per atom: -6.785
Energy above the most stable polymorph in this dataset in meV/atom: 0.0
Symmetry: R-3m
Formation energy from the elements in eV/atom: -0.290

a b c (Å): 4.973 4.973 4.973
angles (deg): 61.01 61.01 61.01
Sites, in units of the cell vectors:
1 Ce 0.124 0.124 0.124
2 Ce 0.876 0.876 0.876
3 Co 0.000 0.500 0.500
4 Co 0.500 0.000 0.500
5 Co 0.500 0.500 0.000
6 Ni 0.500 0.500 0.500